(1)
The following is a GGA-PBE calculation of a geometry-optimized Sm3Dy6Mg structure, from the Alexandria database.

```
data_Sm3Dy6Mg
_chemical_formula_sum 'Sm6 Dy12 Mg2'
_symmetry_space_group_name_H-M 'P 1'
_symmetry_Int_Tables_number 1
_cell_length_a 8.7724
_cell_length_b 8.7724
_cell_length_c 9.0803
_cell_angle_alpha 90.00
_cell_angle_beta 90.00
_cell_angle_gamma 115.01
loop_
_symmetry_equiv_pos_as_xyz
'x,y,z'
loop_
_atom_site_label
_atom_site_fract_x
_atom_site_fract_y
_atom_site_fract_z
Sm1 0.0334 0.9666 0.5000
Sm2 0.1791 0.4690 0.9868
Sm3 0.4690 0.1791 0.4868
Sm4 0.5310 0.8209 0.9868
Sm5 0.8209 0.5310 0.4868
Sm6 0.9666 0.0334 0.0000
Dy1 0.0232 0.3308 0.6594
Dy2 0.2029 0.7971 0.7744
Dy3 0.2150 0.3584 0.3256
Dy4 0.3308 0.0232 0.1594
Dy5 0.3584 0.2150 0.8256
Dy6 0.4353 0.5647 0.6409
Dy7 0.5647 0.4353 0.1409
Dy8 0.6416 0.7850 0.3256
Dy9 0.6692 0.9768 0.6594
Dy10 0.7850 0.6416 0.8256
Dy11 0.7971 0.2029 0.2744
Dy12 0.9768 0.6692 0.1594
Mg1 0.2600 0.7400 0.4210
Mg2 0.7400 0.2600 0.9210
```

Computed properties:
- Calculated total energy: -84.28 eV per cell
- Fermi-level density of states: 1.172 states/eV per atom
- Mass density: 7.6 g/cm³
- Size of the total moment: 0.000 μB per cell
- Energy relative to the elements: 122 meV per atom

(2)
The following is a GGA-PBE calculation of a geometry-optimized Sm2Dy7Mg structure, from the Alexandria database.

```
data_Sm2Dy7Mg
_chemical_formula_sum 'Sm2 Dy7 Mg1'
_symmetry_space_group_name_H-M 'P 1'
_symmetry_Int_Tables_number 1
_cell_length_a 9.3506
_cell_length_b 9.3506
_cell_length_c 5.2953
_cell_angle_alpha 90.00
_cell_angle_beta 90.00
_cell_angle_gamma 125.00
loop_
_symmetry_equiv_pos_as_xyz
'x,y,z'
loop_
_atom_site_label
_atom_site_fract_x
_atom_site_fract_y
_atom_site_fract_z
Sm1 0.2055 0.7945 0.0000
Sm2 0.7945 0.2055 0.0000
Dy1 0.0000 0.0000 0.0000
Dy2 0.2162 0.4280 0.0000
Dy3 0.2980 0.7020 0.5000
Dy4 0.4280 0.2162 0.0000
Dy5 0.5720 0.7838 0.0000
Dy6 0.7020 0.2980 0.5000
Dy7 0.7838 0.5720 0.0000
Mg1 0.5000 0.5000 0.5000
```

Computed properties:
- Calculated total energy: -36.60 eV per cell
- Fermi-level density of states: 1.081 states/eV per atom
- Mass density: 6.4 g/cm³
- Size of the total moment: 0.000 μB per cell
- Energy relative to the elements: 665 meV per atom

(3)
The following is a GGA-PBE calculation of a geometry-optimized Sm2Dy8Mg structure, from the Alexandria database.

```
data_Sm2Dy8Mg
_chemical_formula_sum 'Sm2 Dy8 Mg1'
_symmetry_space_group_name_H-M 'P 1'
_symmetry_Int_Tables_number 1
_cell_length_a 9.5851
_cell_length_b 9.5851
_cell_length_c 9.5851
_cell_angle_alpha 146.69
_cell_angle_beta 132.57
_cell_angle_gamma 59.19
loop_
_symmetry_equiv_pos_as_xyz
'x,y,z'
loop_
_atom_site_label
_atom_site_fract_x
_atom_site_fract_y
_atom_site_fract_z
Sm1 0.1957 0.1957 0.0000
Sm2 0.8043 0.8043 0.0000
Dy1 0.0855 0.3645 0.7210
Dy2 0.2296 0.0000 0.2296
Dy3 0.3259 0.8259 0.5000
Dy4 0.3565 0.6355 0.7210
Dy5 0.6435 0.3645 0.2790
Dy6 0.6741 0.1741 0.5000
Dy7 0.7704 0.0000 0.7704
Dy8 0.9145 0.6355 0.2790
Mg1 0.5000 0.5000 0.0000
```

Computed properties:
- Calculated total energy: -46.67 eV per cell
- Fermi-level density of states: 1.712 states/eV per atom
- Mass density: 7.6 g/cm³
- Size of the total moment: 0.001 μB per cell
- Energy relative to the elements: 107 meV per atom